# LiZr3

A relaxed LiZr3 crystal (PBE-GGA, OQMD via LeMat-Bulk).

Results
Density (g/cm³): 5.52
Symmetry: No. 194
Offset from the most stable computed form (kJ/mol of formula units): 16
Total magnetic moment (μB per formula unit): 0.00

a b c (Å): 6.223 6.223 5.037
angles (deg): 90.00 90.00 120.00
Element x y z (fractional)
Li  0.000  0.000  0.000
Li  0.333  0.667  0.500
Zr  0.496  0.504  0.000
Zr  0.007  0.504  0.000
Zr  0.496  0.993  0.000
Zr  0.326  0.163  0.500
Zr  0.837  0.163  0.500
Zr  0.837  0.674  0.500

# LiZr3

A relaxed LiZr3 crystal (PBE-GGA, OQMD via LeMat-Bulk).

Results
Density (g/cm³): 5.37
Symmetry: No. 63
Offset from the most stable computed form (kJ/mol of formula units): 0
Total magnetic moment (μB per formula unit): 0.00

a b c (Å): 6.474 6.224 5.042
angles (deg): 90.00 90.00 121.31
Element x y z (fractional)
Li  0.011  0.522  0.000
Li  0.822  0.145  0.500
Zr  0.504  0.020  0.000
Zr  0.015  0.020  0.000
Zr  0.507  0.514  0.000
Zr  0.327  0.153  0.500
Zr  0.818  0.647  0.500
Zr  0.329  0.647  0.500

# LiZr5

A relaxed LiZr5 crystal (PBE-GGA, OQMD via LeMat-Bulk).

Results
Density (g/cm³): 5.76
Symmetry: No. 189
Offset from the most stable computed form (kJ/mol of formula units): 0
Total magnetic moment (μB per formula unit): 0.01

a b c (Å): 5.489 5.489 5.117
angles (deg): 90.00 90.00 60.00
Element x y z (fractional)
Li  0.000  0.000  0.000
Zr  0.333  0.333  0.000
Zr  0.667  0.667  0.000
Zr  0.672  0.000  0.500
Zr  0.000  0.328  0.500
Zr  0.328  0.672  0.500

# Li3Zr4

A relaxed Li3Zr4 crystal (PBE-GGA, OQMD via LeMat-Bulk).

Results
Density (g/cm³): 4.68
Symmetry: No. 176
Offset from the most stable computed form (kJ/mol of formula units): 106
Total magnetic moment (μB per formula unit): 0.37

a b c (Å): 8.103 8.105 4.814
angles (deg): 90.00 90.00 60.01
Element x y z (fractional)
Li  0.148  0.287  0.000
Li  0.279  0.576  0.000
Li  0.859  0.708  0.000
Li  0.376  0.094  0.500
Li  0.665  0.673  0.500
Li  0.244  0.805  0.500
Zr  0.543  0.164  0.000
Zr  0.736  0.436  0.000
Zr  0.429  0.857  0.000
Zr  0.008  0.971  0.000
Zr  0.981  0.217  0.500
Zr  0.516  0.410  0.500
Zr  0.095  0.524  0.500
Zr  0.788  0.945  0.500

# LiZr3

A relaxed LiZr3 crystal (PBE-GGA, OQMD via LeMat-Bulk).

Results
Density (g/cm³): 5.46
Symmetry: No. 59
Offset from the most stable computed form (kJ/mol of formula units): 9
Total magnetic moment (μB per formula unit): 0.01

a b c (Å): 5.403 6.179 5.112
angles (deg): 90.00 90.00 90.00
Element x y z (fractional)
Li  0.997  0.000  0.000
Li  0.336  0.500  0.500
Zr  0.505  0.253  0.000
Zr  0.012  0.500  0.000
Zr  0.505  0.747  0.000
Zr  0.321  0.000  0.500
Zr  0.828  0.247  0.500
Zr  0.828  0.753  0.500

# Lu

A relaxed Lu crystal (PBE-GGA, OQMD via LeMat-Bulk).

Results
Density (g/cm³): 9.56
Symmetry: No. 223
Offset from the most stable computed form (kJ/mol of formula units): 25
Total magnetic moment (μB per formula unit): 0.74
Formation energy (eV per atom): 0.262

a b c (Å): 6.242 6.242 6.242
angles (deg): 90.00 90.00 90.00
Site moments in Bohr magnetons follow the coordinates.
Element x y z (fractional)
Lu  0.000  0.000  0.000  0.64
Lu  0.500  0.250  0.000  0.48
Lu  0.500  0.750  0.000  0.48
Lu  0.000  0.500  0.250  0.43
Lu  0.250  0.000  0.500  0.45
Lu  0.750  0.000  0.500  0.45
Lu  0.500  0.500  0.500  0.62
Lu  0.000  0.500  0.750  0.43